Cs2LiVCl6: relaxed, PBE-GGA.

Unit cell a=7.241 b=7.241 c=7.247 alpha=60.03 beta=60.03 gamma=90.00
Site moments in Bohr magnetons follow the coordinates.
Sites, in units of the cell vectors:
Cl1 0.236 0.236 0.000  -0.01
Cl2 0.764 0.236 0.000  -0.01
Cl3 0.764 0.764 0.471  -0.01
Li1 0.500 0.500 0.000  0.00
Cl4 0.236 0.764 0.000  -0.01
Cl5 0.764 0.764 0.000  -0.01
Cs1 0.250 0.750 0.500  0.00
Cl6 0.236 0.236 0.529  -0.01
V1 0.000 0.000 0.000  1.87
Cs2 0.750 0.250 0.500  0.00

Formation energy without anion corrections (eV/atom): -1.67
Symmetry: I4/mmm
Polymorph energy (0 for the lowest one) (meV per atom): 25
Electronic total energy (eV per atom): -4.05